First-principles (GGA-PBE) data for Cd2InBiPb4 after structural relaxation, as listed in the Alexandria database.

abc: 4.901 4.901 10.622
angles: 90.00 90.00 90.00
Element x y z (fractional)
Cd: 0.000 0.000 0.127
Cd: 0.000 0.000 0.873
In: 0.500 0.500 0.500
Bi: 0.500 0.500 0.000
Pb: 0.000 0.500 0.308
Pb: 0.000 0.500 0.692
Pb: 0.500 0.000 0.308
Pb: 0.500 0.000 0.692

Energy of formation from the pure elements   129.6 kJ/mol of formula units
Energy   -2.74 eV/atom
Symmetry   No. 123

First-principles (GGA-PBE) data for LiOsSN2 after structural relaxation, as listed in the Alexandria database.

abc: 3.767 3.767 5.193
angles: 90.00 90.00 90.00
Element x y z (fractional)
Li: 0.000 0.000 0.000
Os: 0.500 0.500 0.500
S: 0.500 0.500 0.000
N: 0.000 0.500 0.500
N: 0.500 0.000 0.500

Energy   -6.55 eV/atom
Symmetry   No. 123

First-principles (GGA-PBE) data for Pr6Cu2Ag after structural relaxation, as listed in the Alexandria database.

abc: 8.789 8.789 8.789
angles: 111.07 110.07 107.30
Element x y z (fractional)
Pr: 0.059 0.248 0.811
Pr: 0.178 0.274 0.452
Pr: 0.178 0.726 0.904
Pr: 0.323 0.019 0.696
Pr: 0.323 0.628 0.304
Pr: 0.437 0.248 0.189
Pr: 0.563 0.752 0.811
Pr: 0.677 0.372 0.696
Pr: 0.677 0.981 0.304
Pr: 0.822 0.274 0.096
Pr: 0.822 0.726 0.548
Pr: 0.941 0.752 0.189
Cu: 0.118 0.618 0.500
Cu: 0.354 0.000 0.354
Cu: 0.646 0.000 0.646
Cu: 0.882 0.382 0.500
Ag: 0.000 0.000 0.000
Ag: 0.500 0.500 0.000

Energy of formation from the pure elements   -83.7 kJ/mol of formula units
Energy   -4.51 eV/atom
Symmetry   No. 71

First-principles (GGA-PBE) data for PmYP2 after structural relaxation, as listed in the Alexandria database.

abc: 6.975 7.074 4.033
angles: 90.00 90.00 90.00
Element x y z (fractional)
Pm: 0.000 0.000 0.000
Pm: 0.500 0.500 0.500
Y: 0.000 0.500 0.000
Y: 0.500 0.000 0.500
P: 0.166 0.254 0.500
P: 0.334 0.754 0.000
P: 0.666 0.246 0.000
P: 0.834 0.746 0.500

Energy of formation from the pure elements   -534.1 kJ/mol of formula units
Energy   -6.89 eV/atom
Symmetry   No. 58

First-principles (GGA-PBE) data for Tc2NiB2 after structural relaxation, as listed in the Alexandria database.

abc: 3.079 10.392 3.166
angles: 90.00 90.00 90.00
Element x y z (fractional)
Tc: 0.000 0.135 0.000
Tc: 0.000 0.865 0.000
Tc: 0.500 0.365 0.000
Tc: 0.500 0.635 0.000
Ni: 0.000 0.500 0.500
Ni: 0.500 0.000 0.500
B: 0.000 0.298 0.500
B: 0.000 0.702 0.500
B: 0.500 0.202 0.500
B: 0.500 0.798 0.500

Energy of formation from the pure elements   -138.1 kJ/mol of formula units
Energy   -8.26 eV/atom
Symmetry   No. 65

First-principles (GGA-PBE) data for BOsRu2 after structural relaxation, as listed in the Alexandria database.

abc: 2.784 2.784 21.992
angles: 90.00 90.00 120.00
Element x y z (fractional)
B: 0.000 0.000 0.000
B: 0.333 0.667 0.667
B: 0.667 0.333 0.333
Os: 0.000 0.000 0.500
Os: 0.333 0.667 0.167
Os: 0.667 0.333 0.833
Ru: 0.000 0.000 0.268
Ru: 0.000 0.000 0.732
Ru: 0.333 0.667 0.399
Ru: 0.333 0.667 0.935
Ru: 0.667 0.333 0.065
Ru: 0.667 0.333 0.601

Energy of formation from the pure elements   44.5 kJ/mol of formula units
Energy   -9.00 eV/atom
Symmetry   No. 166

First-principles (GGA-PBE) data for Zr2TlRh after structural relaxation, as listed in the Alexandria database.

abc: 5.983 8.233 3.277
angles: 90.00 90.00 90.00
Element x y z (fractional)
Zr: 0.250 0.250 0.000
Zr: 0.250 0.750 0.000
Zr: 0.750 0.250 0.000
Zr: 0.750 0.750 0.000
Tl: 0.000 0.000 0.500
Tl: 0.500 0.500 0.500
Rh: 0.000 0.500 0.500
Rh: 0.500 0.000 0.500

Energy of formation from the pure elements   -95.6 kJ/mol of formula units
Energy   -6.95 eV/atom
Symmetry   No. 65

First-principles (GGA-PBE) data for VCrPCl2 after structural relaxation, as listed in the Alexandria database.

abc: 4.703 4.703 4.799
angles: 90.00 90.00 90.00
Element x y z (fractional)
V: 0.000 0.000 0.000
Cr: 0.500 0.500 0.500
P: 0.000 0.000 0.500
Cl: 0.000 0.500 0.000
Cl: 0.500 0.000 0.000

Energy   -5.51 eV/atom
Symmetry   No. 123

First-principles (GGA-PBE) data for Ni2AsS after structural relaxation, as listed in the Alexandria database.

abc: 5.220 5.220 10.093
angles: 90.00 90.00 90.00
Element x y z (fractional)
Ni: 0.224 0.250 0.125
Ni: 0.250 0.724 0.375
Ni: 0.250 0.776 0.875
Ni: 0.276 0.250 0.625
Ni: 0.724 0.750 0.625
Ni: 0.750 0.224 0.875
Ni: 0.750 0.276 0.375
Ni: 0.776 0.750 0.125
As: 0.000 0.000 0.500
As: 0.000 0.500 0.750
As: 0.500 0.000 0.250
As: 0.500 0.500 0.000
S: 0.000 0.000 0.000
S: 0.000 0.500 0.250
S: 0.500 0.000 0.750
S: 0.500 0.500 0.500

Energy   -5.26 eV/atom
Symmetry   No. 122

First-principles (GGA-PBE) data for RbTl2CuF8 after structural relaxation, as listed in the Alexandria database.

abc: 5.315 7.358 5.427
angles: 90.00 95.21 90.00
Element x y z (fractional)
Rb: 0.000 0.000 0.000
Tl: 0.500 0.265 0.500
Tl: 0.500 0.735 0.500
Cu: 0.000 0.500 0.000
F: 0.188 0.310 0.201
F: 0.188 0.690 0.201
F: 0.307 0.500 0.699
F: 0.353 0.000 0.675
F: 0.647 0.000 0.325
F: 0.693 0.500 0.301
F: 0.812 0.310 0.799
F: 0.812 0.690 0.799

Energy   -3.94 eV/atom
Symmetry   No. 10

First-principles (GGA-PBE) data for Tm4SbTe2 after structural relaxation, as listed in the Alexandria database.

abc: 8.119 8.119 8.119
angles: 108.96 108.96 110.50
Element x y z (fractional)
Tm: 0.003 0.751 0.635
Tm: 0.116 0.369 0.365
Tm: 0.119 0.253 0.753
Tm: 0.249 0.997 0.365
Tm: 0.501 0.366 0.247
Tm: 0.631 0.884 0.635
Tm: 0.634 0.499 0.753
Tm: 0.747 0.881 0.247
Sb: 0.000 0.000 0.000
Sb: 0.750 0.250 0.500
Te: 0.323 0.625 0.198
Te: 0.375 0.677 0.802
Te: 0.427 0.125 0.802
Te: 0.875 0.573 0.198

Energy   -4.94 eV/atom
Symmetry   No. 98

First-principles (GGA-PBE) data for BaCu4Si2 after structural relaxation, as listed in the Alexandria database.

abc: 6.732 6.732 6.732
angles: 106.70 106.70 115.17
Element x y z (fractional)
Ba: 0.250 0.250 0.000
Ba: 0.750 0.750 0.000
Cu: 0.023 0.523 0.215
Cu: 0.192 0.977 0.500
Cu: 0.308 0.808 0.785
Cu: 0.477 0.692 0.500
Cu: 0.523 0.308 0.500
Cu: 0.692 0.192 0.215
Cu: 0.808 0.023 0.500
Cu: 0.977 0.477 0.785
Si: 0.148 0.352 0.500
Si: 0.352 0.852 0.204
Si: 0.648 0.148 0.796
Si: 0.852 0.648 0.500

Energy   -4.32 eV/atom
Symmetry   No. 140

First-principles (GGA-PBE) data for KFe2Cu after structural relaxation, as listed in the Alexandria database.

abc: 2.891 2.891 28.024
angles: 90.00 90.00 120.00
Element x y z (fractional)
K: 0.000 0.000 0.000
K: 0.333 0.667 0.667
K: 0.667 0.333 0.333
Fe: 0.000 0.000 0.230
Fe: 0.000 0.000 0.502
Fe: 0.333 0.667 0.168
Fe: 0.333 0.667 0.897
Fe: 0.667 0.333 0.563
Fe: 0.667 0.333 0.835
Cu: 0.000 0.000 0.767
Cu: 0.333 0.667 0.433
Cu: 0.667 0.333 0.100

Energy of formation from the pure elements   289.3 kJ/mol of formula units
Energy   -4.78 eV/atom
Symmetry   No. 160

First-principles (GGA-PBE) data for Tl4In3Hg2 after structural relaxation, as listed in the Alexandria database.

abc: 5.617 5.619 9.733
angles: 80.38 80.38 60.22
Element x y z (fractional)
Tl: 0.010 0.011 0.331
Tl: 0.355 0.356 0.169
Tl: 0.645 0.644 0.831
Tl: 0.990 0.989 0.669
In: 0.000 0.000 0.000
In: 0.332 0.332 0.514
In: 0.668 0.668 0.486
Hg: 0.316 0.315 0.839
Hg: 0.684 0.685 0.161

Energy of formation from the pure elements   12.2 kJ/mol of formula units
Energy   -2.02 eV/atom
Symmetry   No. 2

First-principles (GGA-PBE) data for TaNi3S after structural relaxation, as listed in the Alexandria database.

abc: 4.563 4.563 4.563
angles: 90.00 90.00 90.00
Element x y z (fractional)
Ta: 0.000 0.000 0.000
Ni: 0.000 0.000 0.500
Ni: 0.000 0.500 0.000
Ni: 0.500 0.000 0.000
S: 0.500 0.500 0.500

Energy   -5.17 eV/atom
Symmetry   No. 221

First-principles (GGA-PBE) data for PmSm2US4 after structural relaxation, as listed in the Alexandria database.

abc: 6.913 3.955 6.915
angles: 90.00 109.12 90.00
Element x y z (fractional)
Pm: 0.000 0.000 0.000
Sm: 0.500 0.000 0.500
Sm: 0.500 0.500 0.000
U: 0.000 0.500 0.500
S: 0.245 0.000 0.743
S: 0.248 0.500 0.255
S: 0.752 0.500 0.745
S: 0.755 0.000 0.257

Energy   -7.09 eV/atom
Symmetry   No. 10

First-principles (GGA-PBE) data for BaSb3C after structural relaxation, as listed in the Alexandria database.

abc: 6.363 6.363 6.363
angles: 90.00 90.00 90.00
Element x y z (fractional)
Ba: 0.000 0.000 0.000
Sb: 0.000 0.000 0.500
Sb: 0.000 0.500 0.000
Sb: 0.500 0.000 0.000
C: 0.500 0.500 0.500

Energy   -2.38 eV/atom
Symmetry   No. 221

First-principles (GGA-PBE) data for KMoCl3 after structural relaxation, as listed in the Alexandria database.

abc: 5.572 5.572 5.572
angles: 90.00 90.00 90.00
Element x y z (fractional)
K: 0.000 0.000 0.000
Mo: 0.500 0.500 0.500
Cl: 0.000 0.000 0.500
Cl: 0.000 0.500 0.000
Cl: 0.500 0.000 0.000

Energy   -3.20 eV/atom
Symmetry   No. 221

First-principles (GGA-PBE) data for Tb2Pu2Sb2C after structural relaxation, as listed in the Alexandria database.

abc: 4.729 4.729 16.153
angles: 90.00 90.00 90.00
Element x y z (fractional)
Tb: 0.000 0.000 0.160
Tb: 0.000 0.000 0.840
Tb: 0.500 0.500 0.340
Tb: 0.500 0.500 0.660
Pu: 0.000 0.500 0.000
Pu: 0.000 0.500 0.500
Pu: 0.500 0.000 0.000
Pu: 0.500 0.000 0.500
Sb: 0.000 0.000 0.356
Sb: 0.000 0.000 0.644
Sb: 0.500 0.500 0.144
Sb: 0.500 0.500 0.856
C: 0.000 0.000 0.000
C: 0.500 0.500 0.500

Energy   -8.55 eV/atom
Symmetry   No. 139

First-principles (GGA-PBE) data for Ac4Ga3Pb after structural relaxation, as listed in the Alexandria database.

abc: 4.450 4.845 12.160
angles: 90.00 90.00 90.00
Element x y z (fractional)
Ac: 0.000 0.000 0.000
Ac: 0.000 0.500 0.480
Ac: 0.500 0.000 0.702
Ac: 0.500 0.500 0.212
Ga: 0.000 0.000 0.283
Ga: 0.500 0.000 0.415
Ga: 0.500 0.500 0.933
Pb: 0.000 0.500 0.778

Energy of formation from the pure elements   -397.8 kJ/mol of formula units
Energy   -4.17 eV/atom
Symmetry   No. 25